*a*
Density functional theory data (PBE) for a geometry-optimized HoGeBi structure.

a = 3.935 Å, b = 9.561 Å, c = 9.561 Å
α = 90.00°, β = 90.00°, γ = 90.00°
Fractional positions:
Bi: 0.000 0.117 0.685
Bi: 0.000 0.883 0.315
Ge: 0.000 0.621 0.651
Ho: 0.500 0.147 0.393
Bi: 0.500 0.315 0.117
Ge: 0.500 0.349 0.621
Ho: 0.500 0.853 0.607
Ge: 0.500 0.651 0.379
Ge: 0.000 0.379 0.349
Bi: 0.500 0.685 0.883
Ho: 0.000 0.393 0.853
Ho: 0.000 0.607 0.147

Properties
* spin magnetization: 0.000 μB per formula unit
* theoretical density: 8.25 g cm⁻³

---

*b*
Density functional theory data (PBE) for a geometry-optimized HoGeBi structure.

a = 4.197 Å, b = 4.489 Å, c = 8.444 Å
α = 105.42°, β = 90.00°, γ = 90.00°
Fractional positions:
Ge: 0.250 0.448 0.896
Ho: 0.750 0.907 0.815
Bi: 0.750 0.253 0.505
Ho: 0.250 0.093 0.185
Ge: 0.750 0.552 0.104
Bi: 0.250 0.747 0.495

Properties
* spin magnetization: 0.000 μB per formula unit
* theoretical density: 9.67 g cm⁻³

---

Of them, *a* has the lowest stability.

---

*a*
Density functional theory data (PBE) for a geometry-optimized Ge2Bi2I structure.

a = 4.493 Å, b = 4.493 Å, c = 8.433 Å
α = 74.55°, β = 74.55°, γ = 90.00°
Fractional positions:
Ge: 0.750 0.250 0.500
Ge: 0.250 0.750 0.500
Bi: 0.631 0.631 0.739
Bi: 0.369 0.369 0.261
I: 0.000 0.000 0.000

Properties
* spin magnetization: 0.000 μB per formula unit
* theoretical density: 7.27 g cm⁻³

---

*b*
Density functional theory data (PBE) for a geometry-optimized Ge2Bi2I structure.

a = 8.976 Å, b = 8.976 Å, c = 3.902 Å
α = 90.00°, β = 90.00°, γ = 90.00°
Fractional positions:
Ge: 0.878 0.378 0.500
Bi: 0.865 0.635 0.000
Bi: 0.365 0.865 0.000
Ge: 0.378 0.122 0.500
I: 0.500 0.500 0.000
Ge: 0.622 0.878 0.500
Bi: 0.635 0.135 0.000
Bi: 0.135 0.365 0.000
Ge: 0.122 0.622 0.500
I: 0.000 0.000 0.000

Properties
* spin magnetization: 0.000 μB per formula unit
* theoretical density: 7.29 g cm⁻³

---

Of them, *b* has the lowest stability.

---

*a*
Density functional theory data (PBE) for a geometry-optimized Ge2Bi2I structure.

a = 5.382 Å, b = 5.382 Å, c = 6.337 Å
α = 64.88°, β = 64.88°, γ = 90.00°
Fractional positions:
Bi: 0.750 0.250 0.500
Ge: 0.375 0.375 0.251
Bi: 0.250 0.750 0.500
Ge: 0.625 0.625 0.749
I: 0.000 0.000 0.000

Properties
* spin magnetization: 0.000 μB per formula unit
* theoretical density: 7.81 g cm⁻³

---

*b*
Density functional theory data (PBE) for a geometry-optimized Ge2Bi2I structure.

a = 8.638 Å, b = 8.638 Å, c = 3.931 Å
α = 90.00°, β = 90.00°, γ = 90.00°
Fractional positions:
Ge: 0.373 0.873 0.000
Ge: 0.127 0.373 0.000
Ge: 0.627 0.127 0.000
Bi: 0.641 0.859 0.500
I: 0.500 0.500 0.000
Bi: 0.141 0.641 0.500
Ge: 0.873 0.627 0.000
Bi: 0.359 0.141 0.500
Bi: 0.859 0.359 0.500
I: 0.000 0.000 0.000

Properties
* spin magnetization: 0.000 μB per formula unit
* theoretical density: 7.82 g cm⁻³

---

Of them, *b* has the lowest stability.